## NiWO3 (PBE+U)

Data for a relaxed structure of NiWO3.

The structure in POSCAR format:
```
NiWO3
1.0
-2.154 -0.232 -3.238
2.872 -1.949 -1.771
-1.514 -3.366 1.248
Ni O W
1 3 1
Cartesian
-0.398 -2.773 -1.880 Ni
1.436 -0.974 -0.885 O
-0.757 -1.683 0.624 O
-1.077 -0.116 -1.619 O
0.000 0.000 0.000 W
```

Values from the calculation:
**Magnetization**: 0.31 μB per atom
**D(E_F)**: 12.3 states/eV/cell
**E**: -5.7396 eV/atom
**Space-group type**: Pm-3m, No. 221